Record 1
# CsCaAg2 | Alexandria | PBE | optimized geometry
# N(E_F)   10.54 states/eV/cell
# Spin magnetization   0.0 μB/cell
# Raw total energy   -1.96 eV per atom
data_CsCaAg2
_chemical_formula_sum 'Cs4 Ca4 Ag8'
_space_group_name_H-M_alt 'I -4 2 d'
_space_group_IT_number 122
_space_group_name_Hall 'I -4 2bw'
_cell_length_a 8.845
_cell_length_b 8.845
_cell_length_c 8.055
_cell_angle_alpha 90.00
_cell_angle_beta 90.00
_cell_angle_gamma 90.00
loop_
_atom_site_label
_atom_site_fract_x
_atom_site_fract_y
_atom_site_fract_z
_atom_site_occupancy
Cs1 0.000 0.000 0.000 1
Ca1 0.000 0.000 0.500 1
Ag1 0.202 0.250 0.625 1

---

Record 2
# U3P4Pd4 | Alexandria | PBE | optimized geometry
# N(E_F)   22.41 states/eV/cell
# Spin magnetization   3.1 μB/cell
# Raw total energy   -7.58 eV per atom
data_U3P4Pd4
_chemical_formula_sum 'U6 P8 Pd8'
_space_group_name_H-M_alt 'A m m 2'
_space_group_IT_number 38
_space_group_name_Hall 'A 2 -2'
_cell_length_a 8.210
_cell_length_b 3.845
_cell_length_c 12.044
_cell_angle_alpha 90.00
_cell_angle_beta 90.00
_cell_angle_gamma 90.00
loop_
_atom_site_label
_atom_site_fract_x
_atom_site_fract_y
_atom_site_fract_z
_atom_site_occupancy
U1 0.000 0.000 0.000 1
U2 0.277 0.000 0.096 1
P1 0.000 0.000 0.669 1
P2 0.236 0.000 0.434 1
P3 0.500 0.000 0.680 1
Pd1 0.000 0.000 0.296 1
Pd2 0.255 0.000 0.798 1
Pd3 0.500 0.000 0.356 1

---

Record 3
# CaAc5Ag4 | Alexandria | PBE | optimized geometry
# N(E_F)   7.36 states/eV/cell
# Spin magnetization   0.0 μB/cell
# Raw total energy   -3.59 eV per atom
data_CaAc5Ag4
_chemical_formula_sum 'Ca1 Ac5 Ag4'
_space_group_name_H-M_alt 'P 4/m m m'
_space_group_IT_number 123
_space_group_name_Hall '-P 4 2'
_cell_length_a 3.956
_cell_length_b 3.956
_cell_length_c 21.479
_cell_angle_alpha 90.00
_cell_angle_beta 90.00
_cell_angle_gamma 90.00
loop_
_atom_site_label
_atom_site_fract_x
_atom_site_fract_y
_atom_site_fract_z
_atom_site_occupancy
Ca1 0.000 0.000 0.000 1
Ac1 0.500 0.500 0.132 1
Ac2 0.500 0.500 0.315 1
Ac3 0.500 0.500 0.500 1
Ag1 0.000 0.000 0.221 1
Ag2 0.000 0.000 0.408 1